Record 1
# Cr4CuRe | the Alexandria database | GGA-PBE | relaxed
# final energy	-9.032	eV/atom
# DOS(E_F)	1.74	states/eV/f.u.
# theoretical density	10.24	g/cm³
# energy of formation from the pure elements	0.141	eV/atom
data_Cr4CuRe
_cell_length_a 4.717
_cell_length_b 4.717
_cell_length_c 4.717
_cell_angle_alpha 60.00
_cell_angle_beta 60.00
_cell_angle_gamma 60.00
_symmetry_space_group_name_H-M 'P 1'
_symmetry_Int_Tables_number 1
loop_
_symmetry_equiv_pos_as_xyz
'x,y,z'
loop_
_atom_site_label
_atom_site_fract_x
_atom_site_fract_y
_atom_site_fract_z
Cu1 0.750 0.750 0.750
Cr1 0.376 0.376 0.376
Re1 0.000 0.000 0.000
Cr2 0.871 0.376 0.376
Cr3 0.376 0.871 0.376
Cr4 0.376 0.376 0.871

Record 2
# Cr2CuRe | the Alexandria database | GGA-PBE | relaxed
# offset from the most stable computed form	64	meV/atom
# final energy	-8.672	eV/atom
# DOS(E_F)	3.78	states/eV/f.u.
# theoretical density	11.64	g/cm³
# energy of formation from the pure elements	0.276	eV/atom
data_Cr2CuRe
_cell_length_a 4.502
_cell_length_b 4.502
_cell_length_c 4.502
_cell_angle_alpha 131.25
_cell_angle_beta 131.25
_cell_angle_gamma 71.41
_symmetry_space_group_name_H-M 'P 1'
_symmetry_Int_Tables_number 1
loop_
_symmetry_equiv_pos_as_xyz
'x,y,z'
loop_
_atom_site_label
_atom_site_fract_x
_atom_site_fract_y
_atom_site_fract_z
Re1 0.750 0.250 0.500
Cr1 0.250 0.750 0.500
Cu1 0.500 0.500 0.000
Cr2 0.000 0.000 0.000

Record 3
# CrCu2Re | the Alexandria database | GGA-PBE | relaxed
# offset from the most stable computed form	62	meV/atom
# final energy	-7.288	eV/atom
# DOS(E_F)	1.75	states/eV/f.u.
# theoretical density	12.03	g/cm³
# energy of formation from the pure elements	0.278	eV/atom
data_CrCu2Re
_cell_length_a 3.512
_cell_length_b 3.507
_cell_length_c 4.095
_cell_angle_alpha 90.00
_cell_angle_beta 90.00
_cell_angle_gamma 90.00
_symmetry_space_group_name_H-M 'P 1'
_symmetry_Int_Tables_number 1
loop_
_symmetry_equiv_pos_as_xyz
'x,y,z'
loop_
_atom_site_label
_atom_site_fract_x
_atom_site_fract_y
_atom_site_fract_z
Cr1 0.000 0.500 0.500
Re1 0.500 0.000 0.500
Cu1 0.500 0.500 0.000
Cu2 0.000 0.000 0.000

Record 4
# CrCu2Re | the Alexandria database | GGA-PBE | relaxed
# offset from the most stable computed form	160	meV/atom
# final energy	-7.190	eV/atom
# DOS(E_F)	2.94	states/eV/f.u.
# theoretical density	11.75	g/cm³
# energy of formation from the pure elements	0.376	eV/atom
data_CrCu2Re
_cell_length_a 4.180
_cell_length_b 4.180
_cell_length_c 4.180
_cell_angle_alpha 60.00
_cell_angle_beta 60.00
_cell_angle_gamma 60.00
_symmetry_space_group_name_H-M 'P 1'
_symmetry_Int_Tables_number 1
loop_
_symmetry_equiv_pos_as_xyz
'x,y,z'
loop_
_atom_site_label
_atom_site_fract_x
_atom_site_fract_y
_atom_site_fract_z
Cu1 0.250 0.250 0.250
Cu2 0.000 0.000 0.000
Re1 0.750 0.750 0.750
Cr1 0.500 0.500 0.500

Record 5
# Cr2CuRe | the Alexandria database | GGA-PBE | relaxed
# offset from the most stable computed form	3	meV/atom
# final energy	-8.733	eV/atom
# DOS(E_F)	2.16	states/eV/f.u.
# theoretical density	11.57	g/cm³
# energy of formation from the pure elements	0.215	eV/atom
data_Cr2CuRe
_cell_length_a 4.125
_cell_length_b 2.522
_cell_length_c 4.982
_cell_angle_alpha 78.48
_cell_angle_beta 90.00
_cell_angle_gamma 90.00
_symmetry_space_group_name_H-M 'P 1'
_symmetry_Int_Tables_number 1
loop_
_symmetry_equiv_pos_as_xyz
'x,y,z'
loop_
_atom_site_label
_atom_site_fract_x
_atom_site_fract_y
_atom_site_fract_z
Re1 0.500 0.775 0.749
Cr1 0.000 0.036 0.014
Cr2 0.500 0.255 0.242
Cu1 0.000 0.433 0.495

Record 6
# CrCu2Re | the Alexandria database | GGA-PBE | relaxed
# offset from the most stable computed form	268	meV/atom
# final energy	-7.082	eV/atom
# DOS(E_F)	3.38	states/eV/f.u.
# theoretical density	11.57	g/cm³
# energy of formation from the pure elements	0.484	eV/atom
data_CrCu2Re
_cell_length_a 3.219
_cell_length_b 3.219
_cell_length_c 5.062
_cell_angle_alpha 90.00
_cell_angle_beta 90.00
_cell_angle_gamma 90.00
_symmetry_space_group_name_H-M 'P 1'
_symmetry_Int_Tables_number 1
loop_
_symmetry_equiv_pos_as_xyz
'x,y,z'
loop_
_atom_site_label
_atom_site_fract_x
_atom_site_fract_y
_atom_site_fract_z
Cr1 0.500 0.500 0.750
Cu1 0.000 0.000 0.996
Re1 0.500 0.500 0.250
Cu2 0.000 0.000 0.504

Record 7
# Cr2CuRe | the Alexandria database | GGA-PBE | relaxed
# offset from the most stable computed form	145	meV/atom
# final energy	-8.592	eV/atom
# DOS(E_F)	4.89	states/eV/f.u.
# theoretical density	11.38	g/cm³
# energy of formation from the pure elements	0.356	eV/atom
data_Cr2CuRe
_cell_length_a 2.551
_cell_length_b 2.551
_cell_length_c 7.931
_cell_angle_alpha 90.00
_cell_angle_beta 90.00
_cell_angle_gamma 90.00
_symmetry_space_group_name_H-M 'P 1'
_symmetry_Int_Tables_number 1
loop_
_symmetry_equiv_pos_as_xyz
'x,y,z'
loop_
_atom_site_label
_atom_site_fract_x
_atom_site_fract_y
_atom_site_fract_z
Re1 0.500 0.500 0.752
Cr1 0.000 0.000 0.011
Cr2 0.500 0.500 0.246
Cu1 0.000 0.000 0.490

Record 8
# Cr2CuRe | the Alexandria database | GGA-PBE | relaxed
# offset from the most stable computed form	0	meV/atom
# final energy	-8.736	eV/atom
# DOS(E_F)	3.58	states/eV/f.u.
# theoretical density	11.44	g/cm³
# energy of formation from the pure elements	0.212	eV/atom
data_Cr2CuRe
_cell_length_a 2.558
_cell_length_b 2.558
_cell_length_c 8.277
_cell_angle_alpha 90.00
_cell_angle_beta 90.00
_cell_angle_gamma 108.56
_symmetry_space_group_name_H-M 'P 1'
_symmetry_Int_Tables_number 1
loop_
_symmetry_equiv_pos_as_xyz
'x,y,z'
loop_
_atom_site_label
_atom_site_fract_x
_atom_site_fract_y
_atom_site_fract_z
Cu1 0.000 0.000 0.490
Re1 0.500 0.500 0.758
Cr1 0.000 0.000 0.013
Cr2 0.500 0.500 0.240